No. 1
A plane-wave DFT calculation with PBE was carried out for crystalline FePt3N at its relaxed geometry.

Results
VASP energy, eV per atom: -6.383
M_tot, μB per cell: 3.717

Lattice parameters (Å, degrees): 4.1655 4.1655 4.1655 90.00 90.00 90.00
Closest atoms and distances in Å follow each position.
Atoms (fractional coordinates):
Fe 0.5000 0.5000 0.5000  12 Pt 2.95
Pt 0.0000 0.5000 0.0000  2 N 2.08
Pt 0.0000 0.0000 0.5000  2 N 2.08
Pt 0.5000 0.0000 0.0000  2 N 2.08
N 0.0000 0.0000 0.0000  6 Pt 2.08



No. 2
A plane-wave DFT calculation with PBE was carried out for crystalline Fe2PtRhN at its relaxed geometry.

Results
VASP energy, eV per atom: -7.773
M_tot, μB per cell: 6.047

Lattice parameters (Å, degrees): 3.8930 3.8930 4.0420 90.00 90.00 90.00
Closest atoms and distances in Å follow each position.
Atoms (fractional coordinates):
Rh 0.0000 0.0000 0.5000  2 N 2.02
Fe 0.0000 0.5000 0.0000  2 N 1.95
Fe 0.5000 0.0000 0.0000  2 N 1.95
Pt 0.5000 0.5000 0.5000  4 Rh 2.75, 8 Fe 2.81
N 0.0000 0.0000 0.0000  4 Fe 1.95, 2 Rh 2.02



No. 3
A plane-wave DFT calculation with PBE was carried out for crystalline FePtRh2N at its relaxed geometry.

Results
VASP energy, eV per atom: -7.393
M_tot, μB per cell: 3.916

Lattice parameters (Å, degrees): 4.0740 4.0740 3.8912 90.00 90.00 90.00
Closest atoms and distances in Å follow each position.
Atoms (fractional coordinates):
Rh 0.0000 0.5000 0.0000  2 N 2.04
Rh 0.5000 0.0000 0.0000  2 N 2.04
Fe 0.0000 0.0000 0.5000  2 N 1.95
Pt 0.5000 0.5000 0.5000  8 Rh 2.82, 4 Fe 2.88
N 0.0000 0.0000 0.0000  2 Fe 1.95, 4 Rh 2.04



No. 4
A plane-wave DFT calculation with PBE was carried out for crystalline FeRuPt2N at its relaxed geometry.

Results
VASP energy, eV per atom: -5.021
M_tot, μB per cell: 0.060

Lattice parameters (Å, degrees): 4.7874 4.3172 4.7874 90.00 90.00 90.00
Closest atoms and distances in Å follow each position.
Atoms (fractional coordinates):
Ru 0.0000 0.0000 0.0000  2 Fe 2.16, 4 Pt 2.39
Fe 0.0000 0.5000 0.0000  2 Ru 2.16
Pt 0.0000 0.0000 0.5000  2 Ru 2.39
Pt 0.5000 0.0000 0.0000  2 Ru 2.39
N 0.5000 0.5000 0.5000  8 Pt 3.22, 4 Fe 3.39



No. 5
A plane-wave DFT calculation with PBE was carried out for crystalline FeRu2PtN at its relaxed geometry.

Results
VASP energy, eV per atom: -8.158
M_tot, μB per cell: 3.043

Lattice parameters (Å, degrees): 4.0132 4.0132 3.9214 90.00 90.00 90.00
Closest atoms and distances in Å follow each position.
Atoms (fractional coordinates):
Ru 0.0000 0.5000 0.0000  2 N 2.01
Ru 0.5000 0.0000 0.0000  2 N 2.01
Fe 0.0000 0.0000 0.5000  2 N 1.96
Pt 0.5000 0.5000 0.5000  8 Ru 2.81, 4 Fe 2.84
N 0.0000 0.0000 0.0000  2 Fe 1.96, 4 Ru 2.01



No. 6
A plane-wave DFT calculation with PBE was carried out for crystalline FePtSN2 at its relaxed geometry.

Results
VASP energy, eV per atom: -6.165
M_tot, μB per cell: 0.000

Lattice parameters (Å, degrees): 3.4722 3.4722 5.7296 90.00 90.00 90.00
Closest atoms and distances in Å follow each position.
Atoms (fractional coordinates):
S 0.0000 0.0000 0.5000  4 Pt 2.46
Fe 0.0000 0.0000 0.0000  4 N 1.74
Pt 0.5000 0.5000 0.5000  4 S 2.46
N 0.0000 0.5000 0.0000  2 Fe 1.74
N 0.5000 0.0000 0.0000  2 Fe 1.74



Copy entry 3 word for word.
A plane-wave DFT calculation with PBE was carried out for crystalline FePtRh2N at its relaxed geometry.

Results
VASP energy, eV per atom: -7.393
M_tot, μB per cell: 3.916

Lattice parameters (Å, degrees): 4.0740 4.0740 3.8912 90.00 90.00 90.00
Closest atoms and distances in Å follow each position.
Atoms (fractional coordinates):
Rh 0.0000 0.5000 0.0000  2 N 2.04
Rh 0.5000 0.0000 0.0000  2 N 2.04
Fe 0.0000 0.0000 0.5000  2 N 1.95
Pt 0.5000 0.5000 0.5000  8 Rh 2.82, 4 Fe 2.88
N 0.0000 0.0000 0.0000  2 Fe 1.95, 4 Rh 2.04